Entry 1:
Compound: In2Ir2Pb
Source: the Alexandria database
Functional: PBE
Structure: relaxed

Output
size of the total moment	0.0	μB/f.u.
ΔH_f (0 K)	0.3262	eV/atom
symmetry	I4/mmm (139)

a b c (Å): 6.5244 6.5244 6.5244
angles (deg): 140.15 140.15 57.62
Element x y z (fractional)
In 0.1241 0.1241 0.0000
In 0.8759 0.8759 0.0000
Ir 0.2500 0.7500 0.5000
Ir 0.7500 0.2500 0.5000
Pb 0.5000 0.5000 0.0000

Entry 2:
Compound: PmGa2TcO8
Source: the Alexandria database
Functional: PBE
Structure: relaxed

Output
size of the total moment	0.1	μB/f.u.
raw formation energy	-1774	meV/atom
symmetry	P2/m (10)

a b c (Å): 4.7473 6.4439 4.7542
angles (deg): 90.00 91.29 90.00
Element x y z (fractional)
Pm 0.0000 0.0000 0.0000
Ga 0.5000 0.2474 0.5000
Ga 0.5000 0.7526 0.5000
Tc 0.0000 0.5000 0.0000
O 0.2030 0.2943 0.2007
O 0.2030 0.7057 0.2007
O 0.2899 0.5000 0.7081
O 0.3247 0.0000 0.6724
O 0.6753 0.0000 0.3276
O 0.7101 0.5000 0.2919
O 0.7970 0.2943 0.7993
O 0.7970 0.7057 0.7993

Entry 3:
Compound: K2Ga4Au5
Source: the Alexandria database
Functional: PBE
Structure: relaxed

Output
size of the total moment	0.0	μB/f.u.
ΔH_f (0 K)	-0.3027	eV/atom
symmetry	Fmmm (69)

a b c (Å): 9.2349 8.0597 6.4055
angles (deg): 78.43 58.76 42.81
Element x y z (fractional)
K 0.1352 0.1352 0.8648
K 0.8648 0.8648 0.1352
Ga 0.2109 0.5324 0.4676
Ga 0.4676 0.7891 0.2109
Ga 0.5324 0.2109 0.7891
Ga 0.7891 0.4676 0.5324
Au 0.0000 0.0000 0.5000
Au 0.2500 0.2500 0.2500
Au 0.5000 0.5000 0.0000
Au 0.5000 0.5000 0.5000
Au 0.7500 0.7500 0.7500

Entry 4:
Compound: Ba2ZrFe
Source: the Alexandria database
Functional: PBE
Structure: relaxed

Output
distance to the lowest polymorph of the same formula	563	meV/atom
size of the total moment	3.5	μB/f.u.
ΔH_f (0 K)	0.9458	eV/atom
symmetry	R-3m (166)

a b c (Å): 11.2086 11.2086 11.2086
angles (deg): 18.65 18.65 18.65
Element x y z (fractional)
Ba 0.2412 0.2412 0.2412
Ba 0.7588 0.7588 0.7588
Zr 0.0000 0.0000 0.0000
Fe 0.5000 0.5000 0.5000

Entry 5:
Compound: ScAs2BrCl
Source: the Alexandria database
Functional: PBE
Structure: relaxed

Output
distance to the lowest polymorph of the same formula	466	meV/atom
size of the total moment	0.0	μB/f.u.
raw formation energy	385	meV/atom
symmetry	P4/mmm (123)

a b c (Å): 4.6948 4.6948 5.8898
angles (deg): 90.00 90.00 90.00
Element x y z (fractional)
Sc 0.0000 0.0000 0.0000
As 0.0000 0.5000 0.5000
As 0.5000 0.0000 0.5000
Br 0.5000 0.5000 0.0000
Cl 0.5000 0.5000 0.5000

Entry 6:
Compound: NaPu5Br12
Source: the Alexandria database
Functional: PBE
Structure: relaxed

Output
size of the total moment	6.7	μB/f.u.
raw formation energy	-1496	meV/atom
symmetry	C2/m (12)

a b c (Å): 7.4086 7.4086 14.0756
angles (deg): 90.01 90.01 120.13
Element x y z (fractional)
Na 0.0000 0.0000 0.0000
Pu 0.1666 0.8334 0.5000
Pu 0.3334 0.6666 0.0000
Pu 0.5000 0.5000 0.5000
Pu 0.6666 0.3334 0.0000
Pu 0.8334 0.1666 0.5000
Br 0.9996 0.3402 0.8835
Br 0.0004 0.6598 0.1165
Br 0.1664 0.1664 0.6187
Br 0.1668 0.5003 0.3815
Br 0.3402 0.9996 0.8835
Br 0.3410 0.3410 0.1166
Br 0.5003 0.1668 0.3815
Br 0.4997 0.8332 0.6185
Br 0.6590 0.6590 0.8834
Br 0.6598 0.0004 0.1165
Br 0.8332 0.4997 0.6185
Br 0.8336 0.8336 0.3813

Entry 7:
Compound: LaHg2Pt
Source: the Alexandria database
Functional: PBE
Structure: relaxed

Output
size of the total moment	0.0	μB/f.u.
ΔH_f (0 K)	-0.4567	eV/atom
symmetry	Fm-3m (225)

a b c (Å): 5.0898 5.0898 5.0898
angles (deg): 60.00 60.00 60.00
Element x y z (fractional)
La 0.0000 0.0000 0.0000
Hg 0.2500 0.2500 0.2500
Hg 0.7500 0.7500 0.7500
Pt 0.5000 0.5000 0.5000

Entry 8:
Compound: ThBi3Pd12
Source: the Alexandria database
Functional: PBE
Structure: relaxed

Output
size of the total moment	0.0	μB/f.u.
ΔH_f (0 K)	-0.4118	eV/atom
symmetry	P4/mmm (123)

a b c (Å): 4.1843 4.1843 16.4677
angles (deg): 90.00 90.00 90.00
Element x y z (fractional)
Th 0.0000 0.0000 0.0000
Bi 0.0000 0.0000 0.2548
Bi 0.0000 0.0000 0.5000
Bi 0.0000 0.0000 0.7452
Pd 0.0000 0.5000 0.1255
Pd 0.0000 0.5000 0.3762
Pd 0.0000 0.5000 0.6238
Pd 0.0000 0.5000 0.8745
Pd 0.5000 0.0000 0.1255
Pd 0.5000 0.0000 0.3762
Pd 0.5000 0.0000 0.6238
Pd 0.5000 0.0000 0.8745
Pd 0.5000 0.5000 0.0000
Pd 0.5000 0.5000 0.2527
Pd 0.5000 0.5000 0.5000
Pd 0.5000 0.5000 0.7473